CsRbMnF6 | PBE with a Hubbard U | optimized geometry

Results
D(E_F)	0.0000	states/eV per atom
magnetic moment	0.366	μB per atom
theoretical density	3.213	g/cm³
polymorph energy (0 for the lowest one)	42	meV/atom

abc: 5.4799 6.4944 6.4944
angles: 120.00 90.00 90.00
Sites, in units of the cell vectors:
1 Cs 0.0000 0.3333 0.6667
2 Rb 0.5000 0.6667 0.3333
3 Mn 0.5000 0.0000 0.0000
4 F 0.6933 0.7644 0.7664
5 F 0.6933 0.2336 0.9980
6 F 0.6933 0.0020 0.2356
7 F 0.3067 0.2336 0.2356
8 F 0.3067 0.7644 0.9980
9 F 0.3067 0.0020 0.7664